Ca2AlZn (GGA-PBE, relaxed); space-group type = Amm2; total magnetization = 0.000 μB per formula unit; ΔE_f = -0.223 eV per atom
1.0
4.6232 0.0000 0.0000
0.0000 1.9814 5.8496
0.0000 -1.9814 5.8496
Ca Al Zn
2 1 1
direct
0.0000 0.0000 0.0000 Ca
0.5000 0.2997 0.2997 Ca
0.0000 0.7123 0.7123 Al
0.5000 0.5907 0.5907 Zn